## MnTcRh2 (PBE)

Data for crystalline MnTcRh2 at its relaxed geometry.

Space group: F-43m, No. 216
ρ (g/cm3): 10.46
Formation energy from the elements (eV per atom): 0.17

abc: 4.3187 4.3187 4.3177
angles: 59.99 59.99 60.00
With the nearest neighbours (Å) after each atom.
Fractional coordinates of all 4 atoms:
Rh 0.2501 0.2501 0.2498  4 Tc 2.64, 4 Rh 2.64
Rh 0.9999 0.9999 0.0002  4 Mn 2.64, 4 Rh 2.64
Tc 0.5000 0.5000 0.4999  4 Mn 2.64, 4 Rh 2.64
Mn 0.7500 0.7500 0.7501  4 Tc 2.64, 4 Rh 2.64